# 1
Compound: AlZn2SbPd
Source: the Alexandria database
Functional: PBE-GGA
Structure: optimized geometry

Output
raw formation energy: 0.57 eV/atom

abc: 4.643 5.411 4.643
angles: 90.00 90.00 90.00
Atoms (fractional coordinates):
1 Sb 0.000 0.500 0.000
2 Zn 0.000 0.000 0.500
3 Zn 0.500 0.000 0.000
4 Al 0.000 0.000 0.000
5 Pd 0.500 0.500 0.500



# 2
Compound: Mn2NiPt
Source: the Alexandria database
Functional: PBE-GGA
Structure: optimized geometry

Output
formation enthalpy at 0 K: -0.0085 eV/atom

abc: 8.487 8.487 8.487
angles: 18.81 18.81 18.81
Last column: magnetic moment on the atom in μB.
Atoms (fractional coordinates):
1 Mn 0.995 0.995 0.995  3.49
2 Mn 0.505 0.505 0.505  3.49
3 Ni 0.250 0.250 0.250  0.78
4 Pt 0.750 0.750 0.750  0.31